The following is a GGA-PBE calculation of a geometry-optimized Tb2Ho8Pu structure, from Alexandria.

Properties
* crystal system: monoclinic
* E_form: 0.20 eV per atom
* energy above the most stable polymorph in this dataset: 0.158 eV per atom
* N(E_F): 39.49 states/eV per cell

abc: 16.286 6.547 6.640
angles: 90.00 101.41 90.00
Space group C2/m (No. 12)
Unique sites:
Tb: 0.245 0.000 0.313 x4
Ho: 0.084 0.260 0.394 x8
Ho: 0.091 0.500 0.911 x4
Ho: 0.195 0.000 0.799 x4
Pu: 0.000 0.000 0.000 x2



The following is a GGA-PBE calculation of a geometry-optimized Tb4Ho7Pu structure, from Alexandria.

Properties
* crystal system: monoclinic
* E_form: 0.25 eV per atom
* energy above the most stable polymorph in this dataset: 0.000 eV per atom
* N(E_F): 42.16 states/eV per cell

abc: 16.159 5.818 9.321
angles: 90.00 119.65 90.00
Space group C2/m (No. 12)
Unique sites:
Tb: 0.091 0.000 0.458 x4
Tb: 0.235 0.000 0.267 x4
Ho: 0.000 0.000 0.000 x2
Ho: 0.063 0.500 0.718 x4
Ho: 0.165 0.500 0.338 x4
Ho: 0.209 0.000 0.885 x4
Pu: 0.000 0.500 0.000 x2